No. 1
# Na2InSnS4

Na2InSnS4 after structural relaxation (PBE-GGA, Alexandria via LeMat-Bulk).

a = 6.402 Å, b = 6.403 Å, c = 7.235 Å
α = 116.24°, β = 116.25°, γ = 90.01°
Atoms (fractional coordinates):
S 0.645 0.606 0.726
In 0.986 0.486 0.972
Na 0.236 0.236 0.472
S 0.351 0.826 0.217
Na 0.486 0.986 0.972
S 0.081 0.120 0.726
S 0.866 0.391 0.217
Sn 0.736 0.736 0.472

## Properties
Formation energy from raw total energies   -0.717 eV per atom
SG   I-4 (82)



No. 2
# NaIn4SnS8

NaIn4SnS8 after structural relaxation (PBE-GGA, Alexandria via LeMat-Bulk).

a = 7.906 Å, b = 7.906 Å, c = 7.839 Å
α = 59.72°, β = 59.72°, γ = 60.00°
Atoms (fractional coordinates):
S 0.223 0.758 0.261
S 0.758 0.223 0.261
Sn 0.006 0.006 0.981
In 0.623 0.623 0.132
In 0.485 0.006 0.504
S 0.758 0.758 0.261
S 0.239 0.239 0.283
S 0.782 0.240 0.739
Na 0.375 0.375 0.874
S 0.760 0.760 0.720
In 0.006 0.006 0.504
S 0.240 0.240 0.739
S 0.240 0.782 0.739
In 0.006 0.485 0.504

## Properties
Formation energy from raw total energies   -0.578 eV per atom
SG   R3m (160)



No. 3
# Na4TbIn3S8

Na4TbIn3S8 after structural relaxation (PBE-GGA, Alexandria via LeMat-Bulk).

a = 7.767 Å, b = 8.094 Å, c = 7.766 Å
α = 118.68°, β = 120.00°, γ = 90.00°
Atoms (fractional coordinates):
Na 0.000 0.000 0.500
S 0.738 0.714 0.476
Na 0.500 0.000 0.500
Na 0.500 0.000 0.000
In 0.500 0.500 0.500
S 0.262 0.286 0.524
Na 0.000 0.000 0.000
S 0.754 0.274 0.020
S 0.735 0.726 0.980
In 0.000 0.500 0.500
S 0.246 0.726 0.491
Tb 0.000 0.500 0.000
S 0.246 0.726 0.980
S 0.754 0.274 0.509
S 0.265 0.274 0.020
In 0.500 0.500 0.000

## Properties
Formation energy from raw total energies   -1.094 eV per atom
SG   R-3m (166)